[1]
Compound: Hg3Pd7Au
Source: Alexandria
Functional: PBE
Structure: relaxed

a b c (Å): 6.633 6.633 5.264
angles (deg): 107.17 107.17 91.97
Atoms (fractional coordinates):
Hg (0.000, 0.000, 0.000)
Hg (0.216, 0.784, 0.500)
Hg (0.784, 0.216, 0.500)
Pd (0.078, 0.581, 0.826)
Pd (0.215, 0.215, 0.539)
Pd (0.419, 0.922, 0.174)
Pd (0.500, 0.500, 0.500)
Pd (0.581, 0.078, 0.826)
Pd (0.785, 0.785, 0.461)
Pd (0.922, 0.419, 0.174)
Au (0.500, 0.500, 0.000)

Computed properties:
The formation enthalpy at 0 K is 7.4 kJ per mole of atoms. The total energy comes out at -0.2652 Ry/atom. Its crystal system is monoclinic. As for the space group: No. 12.

=====

[2]
Compound: HgPd7Au3
Source: Alexandria
Functional: PBE
Structure: relaxed

a b c (Å): 4.907 5.751 7.397
angles (deg): 101.58 97.51 106.50
Atoms (fractional coordinates):
Hg (0.000, 0.000, 0.000)
Pd (0.003, 0.181, 0.674)
Pd (0.004, 0.351, 0.350)
Pd (0.005, 0.844, 0.350)
Pd (0.486, 0.593, 0.844)
Pd (0.497, 0.093, 0.841)
Pd (0.504, 0.430, 0.179)
Pd (0.507, 0.928, 0.180)
Au (0.509, 0.269, 0.515)
Au (0.509, 0.761, 0.518)
Au (0.996, 0.510, 0.007)

Computed properties:
Its offset from the most stable computed form is 0.0 meV/atom. The formation enthalpy at 0 K is 0.3 kJ per mole of atoms. The total energy comes out at -0.3104 Ry/atom. Its crystal system is triclinic. As for the space group: No. 1.

=====

[3]
Compound: Hg3Pd4Au2
Source: Alexandria
Functional: PBE
Structure: relaxed

a b c (Å): 4.622 4.622 8.687
angles (deg): 90.00 90.00 120.00
Atoms (fractional coordinates):
Hg (0.000, 0.000, 0.000)
Hg (0.333, 0.667, 0.571)
Hg (0.667, 0.333, 0.429)
Pd (0.000, 0.000, 0.326)
Pd (0.000, 0.000, 0.674)
Pd (0.333, 0.667, 0.895)
Pd (0.667, 0.333, 0.105)
Au (0.333, 0.667, 0.221)
Au (0.667, 0.333, 0.779)

Computed properties:
Its offset from the most stable computed form is 0.0 meV/atom. The formation enthalpy at 0 K is -10.1 kJ per mole of atoms. The total energy comes out at -0.2383 Ry/atom. Its crystal system is trigonal. As for the space group: No. 164.

=====

What did the first record say?
Compound: Hg3Pd7Au
Source: Alexandria
Functional: PBE
Structure: relaxed

a b c (Å): 6.633 6.633 5.264
angles (deg): 107.17 107.17 91.97
Atoms (fractional coordinates):
Hg (0.000, 0.000, 0.000)
Hg (0.216, 0.784, 0.500)
Hg (0.784, 0.216, 0.500)
Pd (0.078, 0.581, 0.826)
Pd (0.215, 0.215, 0.539)
Pd (0.419, 0.922, 0.174)
Pd (0.500, 0.500, 0.500)
Pd (0.581, 0.078, 0.826)
Pd (0.785, 0.785, 0.461)
Pd (0.922, 0.419, 0.174)
Au (0.500, 0.500, 0.000)

Computed properties:
The formation enthalpy at 0 K is 7.4 kJ per mole of atoms. The total energy comes out at -0.2652 Ry/atom. Its crystal system is monoclinic. As for the space group: No. 12.